(1)
Entry from Alexandria via LeMat-Bulk: a relaxed structure of KScOs2O8 (PBE). Values from VASP.

```
&SYSTEM
  ibrav = 0, nat = 12, ntyp = 4
/
ATOMIC_SPECIES
K 39.10 K.upf
Sc 44.96 Sc.upf
Os 190.23 Os.upf
O 16.00 O.upf
CELL_PARAMETERS angstrom
5.825 0.000 0.000
-2.912 5.044 0.000
0.000 0.000 7.494
ATOMIC_POSITIONS crystal
K 0.000 0.000 0.000
Sc 0.000 0.000 0.500
Os 0.333 0.667 0.751
Os 0.667 0.333 0.249
O 0.135 0.328 0.672
O 0.193 0.865 0.672
O 0.328 0.193 0.328
O 0.333 0.667 0.987
O 0.667 0.333 0.013
O 0.672 0.807 0.672
O 0.807 0.135 0.328
O 0.865 0.672 0.328
```

The formation energy (no corrections) is -1.506 eV per atom. The calculation puts the total magnetization at 3.93 Bohr magnetons per cell.

---

(2)
Entry from Alexandria via LeMat-Bulk: a relaxed structure of MgSc2Os (PBE). Values from VASP.

```
&SYSTEM
  ibrav = 0, nat = 4, ntyp = 3
/
ATOMIC_SPECIES
Mg 24.30 Mg.upf
Sc 44.96 Sc.upf
Os 190.23 Os.upf
CELL_PARAMETERS angstrom
-1.657 2.352 5.087
1.657 -2.352 5.087
1.657 2.352 -5.087
ATOMIC_POSITIONS crystal
Mg 0.000 0.000 0.000
Sc 0.418 0.418 0.000
Sc 0.713 0.213 0.500
Os 0.214 0.714 0.500
```

The calculation puts the total magnetization at 0.00 Bohr magnetons per cell. As for the formation energy: -0.15 eV per atom.

---

(3)
Entry from Alexandria via LeMat-Bulk: a relaxed structure of LiPm7Ru4 (PBE). Values from VASP.

```
&SYSTEM
  ibrav = 0, nat = 12, ntyp = 3
/
ATOMIC_SPECIES
Li 6.94 Li.upf
Pm 145.00 Pm.upf
Ru 101.07 Ru.upf
CELL_PARAMETERS angstrom
7.017 -2.719 0.000
7.017 2.719 0.000
-5.980 0.000 7.955
ATOMIC_POSITIONS crystal
Li 0.000 0.000 0.000
Pm 0.080 0.080 0.364
Pm 0.212 0.212 0.876
Pm 0.329 0.329 0.377
Pm 0.500 0.500 0.000
Pm 0.671 0.671 0.623
Pm 0.788 0.788 0.124
Pm 0.920 0.920 0.636
Ru 0.301 0.301 0.658
Ru 0.435 0.435 0.219
Ru 0.565 0.565 0.781
Ru 0.699 0.699 0.342
```

The calculation puts the total magnetization at 0.00 Bohr magnetons per cell. As for the formation energy: -0.02 eV per atom.

---

(4)
Entry from Alexandria via LeMat-Bulk: a relaxed structure of Ac2YTmSe6 (PBE). Values from VASP.

```
&SYSTEM
  ibrav = 0, nat = 20, ntyp = 4
/
ATOMIC_SPECIES
Ac 227.00 Ac.upf
Y 88.91 Y.upf
Tm 168.93 Tm.upf
Se 78.96 Se.upf
CELL_PARAMETERS angstrom
7.155 0.000 0.000
0.000 7.878 0.000
-7.125 0.000 10.539
ATOMIC_POSITIONS crystal
Ac 0.213 0.097 0.249
Ac 0.213 0.403 0.749
Ac 0.787 0.597 0.251
Ac 0.787 0.903 0.751
Y 0.500 0.000 0.000
Y 0.500 0.500 0.500
Tm 0.000 0.000 0.500
Tm 0.000 0.500 0.000
Se 0.113 0.189 0.937
Se 0.113 0.311 0.437
Se 0.257 0.686 0.937
Se 0.257 0.814 0.437
Se 0.377 0.039 0.748
Se 0.377 0.461 0.248
Se 0.623 0.539 0.752
Se 0.623 0.961 0.252
Se 0.743 0.186 0.563
Se 0.743 0.314 0.063
Se 0.887 0.689 0.563
Se 0.887 0.811 0.063
```

The formation energy (no corrections) is -1.978 eV per atom. The calculation puts the total magnetization at 0.00 Bohr magnetons per cell.

---

(5)
Entry from Alexandria via LeMat-Bulk: a relaxed structure of Y2Zr (PBE). Values from VASP.

```
&SYSTEM
  ibrav = 0, nat = 6, ntyp = 2
/
ATOMIC_SPECIES
Y 88.91 Y.upf
Zr 91.22 Zr.upf
CELL_PARAMETERS angstrom
-1.675 1.675 15.913
1.675 -1.675 15.913
1.675 1.675 -15.913
ATOMIC_POSITIONS crystal
Y 0.301 0.551 0.750
Y 0.449 0.699 0.750
Y 0.551 0.301 0.250
Y 0.699 0.449 0.250
Zr 0.125 0.875 0.250
Zr 0.875 0.125 0.750
```

The calculation puts the total magnetization at 0.00 Bohr magnetons per cell. The calculation puts the relative energy among the computed polymorphs at 76 meV per atom. As for the formation energy: 0.16 eV per atom.

---

(6)
Entry from Alexandria via LeMat-Bulk: a relaxed structure of RePt3I (PBE). Values from VASP.

```
&SYSTEM
  ibrav = 0, nat = 5, ntyp = 3
/
ATOMIC_SPECIES
Re 186.21 Re.upf
Pt 195.08 Pt.upf
I 126.90 I.upf
CELL_PARAMETERS angstrom
4.897 0.000 0.000
0.000 4.897 0.000
0.000 0.000 4.897
ATOMIC_POSITIONS crystal
Re 0.000 0.000 0.000
Pt 0.000 0.000 0.500
Pt 0.000 0.500 0.000
Pt 0.500 0.000 0.000
I 0.500 0.500 0.500
```

The formation energy (no corrections) is 1.232 eV per atom. The calculation puts the total magnetization at 0.00 Bohr magnetons per cell. The calculation puts the relative energy among the computed polymorphs at 0 meV per atom.

---

(7)
Entry from Alexandria via LeMat-Bulk: a relaxed structure of ZrBePb2N (PBE). Values from VASP.

```
&SYSTEM
  ibrav = 0, nat = 5, ntyp = 4
/
ATOMIC_SPECIES
Zr 91.22 Zr.upf
Be 9.01 Be.upf
Pb 207.20 Pb.upf
N 14.01 N.upf
CELL_PARAMETERS angstrom
5.058 0.000 0.000
0.000 5.058 0.000
0.000 0.000 4.260
ATOMIC_POSITIONS crystal
Zr 0.000 0.000 0.000
Be 0.500 0.500 0.000
Pb 0.000 0.500 0.500
Pb 0.500 0.000 0.500
N 0.000 0.000 0.500
```

The formation energy (no corrections) is 0.431 eV per atom. The calculation puts the total magnetization at 0.00 Bohr magnetons per cell.

---

(8)
Entry from Alexandria via LeMat-Bulk: a relaxed structure of Na2PuTlI6 (PBE). Values from VASP.

```
&SYSTEM
  ibrav = 0, nat = 10, ntyp = 4
/
ATOMIC_SPECIES
Na 22.99 Na.upf
Pu 244.00 Pu.upf
Tl 204.38 Tl.upf
I 126.90 I.upf
CELL_PARAMETERS angstrom
4.069 2.349 7.589
-4.069 2.349 7.589
0.000 -4.699 7.589
ATOMIC_POSITIONS crystal
Na 0.000 0.000 0.000
Na 0.488 0.488 0.488
Pu 0.675 0.675 0.675
Tl 0.186 0.186 0.186
I 0.067 0.424 0.757
I 0.275 0.867 0.622
I 0.424 0.757 0.067
I 0.622 0.275 0.867
I 0.757 0.067 0.424
I 0.867 0.622 0.275
```

The formation energy (no corrections) is -1.048 eV per atom. The calculation puts the total magnetization at 5.00 Bohr magnetons per cell.

---

(9)
Entry from Alexandria via LeMat-Bulk: a relaxed structure of CePmTlPd (PBE). Values from VASP.

```
&SYSTEM
  ibrav = 0, nat = 4, ntyp = 4
/
ATOMIC_SPECIES
Ce 140.12 Ce.upf
Pm 145.00 Pm.upf
Tl 204.38 Tl.upf
Pd 106.42 Pd.upf
CELL_PARAMETERS angstrom
0.000 3.755 3.755
3.755 0.000 3.755
3.755 3.755 0.000
ATOMIC_POSITIONS crystal
Ce 0.000 0.000 0.000
Pm 0.500 0.500 0.500
Tl 0.250 0.250 0.250
Pd 0.750 0.750 0.750
```

The calculation puts the total magnetization at 0.82 Bohr magnetons per cell. As for the formation energy: -0.39 eV per atom.

---

(10)
Entry from Alexandria via LeMat-Bulk: a relaxed structure of Mg2GaH2 (PBE). Values from VASP.

```
&SYSTEM
  ibrav = 0, nat = 10, ntyp = 3
/
ATOMIC_SPECIES
Mg 24.30 Mg.upf
Ga 69.72 Ga.upf
H 1.01 H.upf
CELL_PARAMETERS angstrom
6.589 0.000 0.000
0.000 6.589 0.000
0.000 0.000 2.999
ATOMIC_POSITIONS crystal
Mg 0.159 0.341 0.000
Mg 0.341 0.841 0.000
Mg 0.659 0.159 0.000
Mg 0.841 0.659 0.000
Ga 0.000 0.000 0.500
Ga 0.500 0.500 0.500
H 0.113 0.613 0.500
H 0.387 0.113 0.500
H 0.613 0.887 0.500
H 0.887 0.387 0.500
```

The calculation puts the total magnetization at 0.00 Bohr magnetons per cell. The calculation puts the relative energy among the computed polymorphs at 327 meV per atom.

---

(11)
Entry from Alexandria via LeMat-Bulk: a relaxed structure of Sc3TiP (PBE). Values from VASP.

```
&SYSTEM
  ibrav = 0, nat = 5, ntyp = 3
/
ATOMIC_SPECIES
Sc 44.96 Sc.upf
Ti 47.87 Ti.upf
P 30.97 P.upf
CELL_PARAMETERS angstrom
4.906 0.000 0.000
0.000 4.906 0.000
0.000 0.000 4.906
ATOMIC_POSITIONS crystal
Sc 0.000 0.000 0.500
Sc 0.000 0.500 0.000
Sc 0.500 0.000 0.000
Ti 0.500 0.500 0.500
P 0.000 0.000 0.000
```

The calculation puts the total magnetization at 0.00 Bohr magnetons per cell. The calculation puts the relative energy among the computed polymorphs at 0 meV per atom. As for the formation energy: -0.15 eV per atom.

---

(12)
Entry from Alexandria via LeMat-Bulk: a relaxed structure of SbRuC2 (PBE). Values from VASP.

```
&SYSTEM
  ibrav = 0, nat = 4, ntyp = 3
/
ATOMIC_SPECIES
Sb 121.76 Sb.upf
Ru 101.07 Ru.upf
C 12.01 C.upf
CELL_PARAMETERS angstrom
0.000 2.857 2.857
2.857 0.000 2.857
2.857 2.857 0.000
ATOMIC_POSITIONS crystal
Sb 0.000 0.000 0.000
Ru 0.500 0.500 0.500
C 0.250 0.250 0.250
C 0.750 0.750 0.750
```

The formation energy (no corrections) is 1.913 eV per atom. The calculation puts the total magnetization at 0.00 Bohr magnetons per cell. The calculation puts the relative energy among the computed polymorphs at 868 meV per atom.